1.
Entry from Alexandria via LeMat-Bulk: an optimized crystal structure of Sm3Mg7In2 (PBE).

```
12
Lattice="3.0443 1.7577 9.7120 -3.0443 1.7577 9.7120 0.0000 -3.5153 9.7120" Properties=species:S:1:pos:R:3 pbc="T T T"
Sm 0.0000 0.0000 0.0000
Sm 0.0000 0.0000 4.2081
Sm 0.0000 0.0000 24.9277
Mg -1.5455 -0.8923 12.1345
Mg 0.0000 -1.7845 17.0013
Mg -1.5455 0.8923 17.0013
Mg 0.0000 0.0000 14.5679
Mg 1.5455 -0.8923 12.1345
Mg 0.0000 1.7845 12.1345
Mg 1.5455 0.8923 17.0013
In 0.0000 0.0000 9.7442
In 0.0000 0.0000 19.3916
```

Summary:
Symmetry = No. 166
Energy of formation from the pure elements = -0.146 eV per atom
Total DFT energy (no corrections) = -2.71 eV per atom

2.
Entry from Alexandria via LeMat-Bulk: an optimized crystal structure of CsCe4Se8 (PBE).

```
26
Lattice="8.1696 0.0000 0.0000 -4.0848 7.0751 0.0000 0.0000 0.0000 18.6004" Properties=species:S:1:pos:R:3 pbc="T T T"
Cs 0.0000 0.0000 0.0000
Cs 0.0000 0.0000 9.3002
Ce 0.0000 0.0000 4.6501
Ce 0.0000 0.0000 13.9503
Ce -2.0315 3.5438 4.6501
Ce 2.0315 3.5438 4.6501
Ce 0.0000 7.0625 4.6501
Ce 4.0848 0.0125 13.9503
Ce 2.0533 3.5313 13.9503
Ce 6.1163 3.5313 13.9503
Se 0.0000 2.3540 12.2363
Se 0.0000 2.3540 15.6643
Se -2.0462 5.8981 12.2363
Se -2.0462 5.8981 15.6643
Se 2.0386 1.1770 2.9361
Se 2.0386 1.1770 6.3641
Se 0.0000 4.7167 2.9371
Se 0.0000 4.7167 6.3631
Se 4.0848 2.3584 12.2373
Se 4.0848 2.3584 15.6633
Se 2.0462 5.8981 12.2363
Se 2.0462 5.8981 15.6643
Se 6.1310 1.1770 2.9361
Se 6.1310 1.1770 6.3641
Se 4.0848 4.7211 2.9361
Se 4.0848 4.7211 6.3641
```

Summary:
Symmetry = No. 194
Formation energy without anion corrections = -143 kJ/mol of atoms
Total DFT energy (no corrections) = -5.52 eV per atom

3.
Entry from Alexandria via LeMat-Bulk: an optimized crystal structure of Ho2ErLu (PBE).

```
4
Lattice="4.9441 0.0000 0.0000 0.0000 4.9441 0.0000 0.0000 0.0000 4.9398" Properties=species:S:1:pos:R:3 pbc="T T T"
Ho 0.0000 2.4720 0.0000
Ho 2.4720 0.0000 0.0000
Er 0.0000 0.0000 2.4699
Lu 2.4720 2.4720 2.4699
```

Summary:
Distance to the lowest polymorph of the same formula = 0.001 eV/atom
Symmetry = No. 123
Energy of formation from the pure elements = 0.027 eV per atom
Total DFT energy (no corrections) = -4.53 eV per atom